Compound: Li2NiAuO4
Source: the Alexandria database
Functional: GGA+U
Structure: relaxed

```
data_Li2NiAuO4
_symmetry_space_group_name_H-M 'P 1'
_symmetry_Int_Tables_number 1
_symmetry_space_group_name_Hall 'P 1'
_cell_length_a 5.714
_cell_length_b 5.714
_cell_length_c 6.734
_cell_angle_alpha 116.38
_cell_angle_beta 116.38
_cell_angle_gamma 89.96
loop_
_atom_site_label
_atom_site_type_symbol
_atom_site_fract_x
_atom_site_fract_y
_atom_site_fract_z
Au1 Au 0.500 0.500 0.500
O1 O 0.730 0.236 0.426
Li1 Li 0.500 0.500 0.000
Ni1 Ni 0.000 0.500 0.500
Ni2 Ni 0.000 0.500 0.000
O2 O 0.731 0.679 0.422
Au2 Au 0.000 0.000 0.000
O3 O 0.264 0.770 0.074
O4 O 0.821 0.769 0.078
Li2 Li 0.000 0.000 0.500
O5 O 0.270 0.764 0.574
O6 O 0.269 0.321 0.578
Li3 Li 0.500 0.000 0.500
O7 O 0.179 0.231 0.922
Li4 Li 0.500 0.000 0.000
O8 O 0.736 0.230 0.926
```

total DFT energy (no corrections)	-4.642	eV/atom
symmetry	No. 15